The following is a DFT calculation (PBE) of crystalline KCd3Hg3 at its relaxed geometry.

Total energy, eV per atom: -0.7245
DOS(E_F), states/eV/cell: 4.37
Relative energy among the computed polymorphs, eV per atom: 0.065
Density, g/cm³: 8.03
Energy relative to the elements, eV per atom: -0.046

abc: 7.8347 7.8347 8.8567
angles: 63.75 63.75 60.00
Closest atoms and distances in Å follow each position.
Fractional coordinates of all 14 atoms:
Cd 0.7190 0.1059 0.6214  4 Hg 3.04-3.18, 2 Cd 3.10
Hg 0.1631 0.7006 0.2115  4 Cd 3.04-3.18, 2 Hg 3.14
Hg 0.2994 0.0752 0.7885  4 Cd 3.04-3.18, 2 Hg 3.14
K 0.3361 0.3361 0.9918  6 Hg 3.44-3.53, 6 Cd 3.69-3.76
Cd 0.1059 0.5537 0.6214  4 Hg 3.04-3.18, 2 Cd 3.10
Cd 0.2810 0.8941 0.3786  4 Hg 3.04-3.18, 2 Cd 3.10
Hg 0.0752 0.8369 0.7885  4 Cd 3.04-3.18, 2 Hg 3.14
Cd 0.8941 0.4463 0.3786  4 Hg 3.04-3.18, 2 Cd 3.10
Hg 0.9248 0.1631 0.2115  4 Cd 3.04-3.18, 2 Hg 3.14
Cd 0.5537 0.7190 0.6214  4 Hg 3.04-3.18, 2 Cd 3.10
Cd 0.4463 0.2810 0.3786  4 Hg 3.04-3.18, 2 Cd 3.10
Hg 0.8369 0.2994 0.7885  4 Cd 3.04-3.18, 2 Hg 3.14
Hg 0.7006 0.9248 0.2115  4 Cd 3.04-3.18, 2 Hg 3.14
K 0.6639 0.6639 0.0082  6 Hg 3.44-3.53, 6 Cd 3.69-3.76

=====

The following is a DFT calculation (PBE) of crystalline Mn2FeTc at its relaxed geometry.

Total energy, eV per atom: -9.1916
DOS(E_F), states/eV/cell: 5.30
Density, g/cm³: 8.73
Energy relative to the elements, eV per atom: 0.100

abc: 2.9770 2.9770 5.6624
angles: 90.00 90.00 90.00
Closest atoms and distances in Å follow each position.
Fractional coordinates of all 4 atoms:
Tc 0.0000 0.0000 0.5111  4 Fe 2.52, 5 Mn 2.64-2.80
Mn 0.5000 0.5000 0.2284  4 Mn 2.45, 4 Tc 2.64, 1 Fe 2.68
Fe 0.5000 0.5000 0.7546  4 Tc 2.52, 5 Mn 2.54-2.68
Mn 0.0000 0.0000 0.0058  4 Mn 2.45, 4 Fe 2.54

=====

The following is a DFT calculation (PBE) of crystalline KTlTc2 at its relaxed geometry.

Total energy, eV per atom: -4.5803
DOS(E_F), states/eV/cell: 4.99
Relative energy among the computed polymorphs, eV per atom: 0.984
Density, g/cm³: 8.95
Energy relative to the elements, eV per atom: 1.469

abc: 5.7780 5.7780 5.7780
angles: 139.21 139.21 59.06
Closest atoms and distances in Å follow each position.
Fractional coordinates of all 4 atoms:
K 0.2500 0.7500 0.5000  4 Tl 2.85
Tl 0.7500 0.2500 0.5000  4 K 2.85
Tc 0.0000 0.0000 0.0000  4 Tc 2.85
Tc 0.5000 0.5000 0.0000  4 Tc 2.85

=====

The following is a DFT calculation (PBE) of crystalline CdSeCl2 at its relaxed geometry.

Formation energy (no corrections), eV/atom: -0.54
Total energy, eV per atom: -2.5606
Relative energy among the computed polymorphs, eV per atom: 0.000
Density, g/cm³: 3.50

abc: 4.4664 6.2577 6.4141
angles: 43.97 90.00 90.00
Closest atoms and distances in Å follow each position.
Fractional coordinates of all 4 atoms:
Se 0.0000 0.5388 0.5634  1 Cl 2.26
Cl 0.5000 0.2709 0.2772  2 Cd 2.61-2.62
Cl 0.0000 0.0229 0.9667  1 Se 2.26
Cd 0.5000 0.6673 0.6927  2 Cl 2.61-2.62, 2 Se 2.70

=====

The following is a DFT calculation (PBE) of crystalline SrPmCuSe3 at its relaxed geometry.

Formation energy (no corrections), eV/atom: -1.54
Total energy, eV per atom: -5.0325
Density, g/cm³: 5.50

abc: 4.1417 8.7216 9.1332
angles: 102.90 90.00 90.00
Closest atoms and distances in Å follow each position.
Fractional coordinates of all 12 atoms:
Se 0.7500 0.9011 0.1383  1 Cu 2.51
Se 0.7500 0.4315 0.1665  3 Pm 2.95-3.01, 2 Sr 3.16
Se 0.2500 0.7851 0.4934  3 Cu 2.53-2.55
Pm 0.7500 0.3270 0.8290  6 Se 2.89-3.01
Se 0.2500 0.5685 0.8335  3 Pm 2.95-3.01, 2 Sr 3.16
Cu 0.2500 0.0809 0.5833  4 Se 2.51-2.55, 2 Cu 2.76
Se 0.2500 0.0989 0.8617  1 Cu 2.51
Sr 0.7500 0.8170 0.7635  7 Se 3.16-3.34, 1 Cu 3.48
Cu 0.7500 0.9191 0.4167  4 Se 2.51-2.55, 2 Cu 2.76
Se 0.7500 0.2149 0.5066  3 Cu 2.53-2.55
Sr 0.2500 0.1830 0.2365  7 Se 3.16-3.34, 1 Cu 3.48
Pm 0.2500 0.6730 0.1710  6 Se 2.89-3.01

=====

The following is a DFT calculation (PBE) of crystalline PuMg5Cd4 at its relaxed geometry.

Total energy, eV per atom: -2.6514
DOS(E_F), states/eV/cell: 10.15
Density, g/cm³: 6.02
Energy relative to the elements, eV per atom: -0.055

abc: 3.2387 3.2387 21.4300
angles: 90.00 90.00 90.00
Closest atoms and distances in Å follow each position.
Fractional coordinates of all 10 atoms:
Mg 0.5000 0.5000 0.3081  8 Cd 3.07-3.08, 4 Mg 3.24
Mg 0.5000 0.5000 0.8828  4 Cd 3.07, 4 Mg 3.24, 4 Pu 3.40
Cd 0.0000 0.0000 0.4040  8 Mg 3.08, 4 Cd 3.24
Mg 0.5000 0.5000 0.5000  8 Cd 3.08, 4 Mg 3.24
Mg 0.5000 0.5000 0.6919  8 Cd 3.07-3.08, 4 Mg 3.24
Pu 0.0000 0.0000 0.0000  4 Pu 3.24, 8 Mg 3.40
Cd 0.0000 0.0000 0.5960  8 Mg 3.08, 4 Cd 3.24
Cd 0.0000 0.0000 0.7872  8 Mg 3.07, 4 Cd 3.24
Mg 0.5000 0.5000 0.1172  4 Cd 3.07, 4 Mg 3.24, 4 Pu 3.40
Cd 0.0000 0.0000 0.2128  8 Mg 3.07, 4 Cd 3.24

=====

The following is a DFT calculation (PBE) of crystalline PmPrTm4 at its relaxed geometry.

Total energy, eV per atom: -4.4508
DOS(E_F), states/eV/cell: 18.11
Relative energy among the computed polymorphs, eV per atom: 0.097
Density, g/cm³: 8.25
Energy relative to the elements, eV per atom: 0.119

abc: 6.5188 9.5943 7.0063
angles: 90.00 90.00 117.88
Closest atoms and distances in Å follow each position.
Fractional coordinates of all 12 atoms:
Tm 0.7332 0.8511 0.2500  5 Tm 3.34-3.64, 3 Pr 3.41-3.50, 1 Pm 3.48
Pm 0.2289 0.4908 0.2500  7 Tm 3.15-3.50, 1 Pr 3.42
Tm 0.2381 0.4872 0.7500  4 Pm 3.15-3.50, 3 Tm 3.34-3.50, 1 Pr 3.39
Tm 0.7799 0.1845 0.5021  8 Tm 3.47-3.77, 2 Pm 3.50-3.59, 3 Pr 3.53-3.87
Tm 0.7799 0.1845 0.9979  8 Tm 3.47-3.77, 2 Pm 3.50-3.59, 3 Pr 3.53-3.87
Pm 0.7711 0.5092 0.7500  7 Tm 3.15-3.50, 1 Pr 3.42
Tm 0.7619 0.5128 0.2500  4 Pm 3.15-3.50, 3 Tm 3.34-3.50, 1 Pr 3.39
Tm 0.2201 0.8155 0.0021  8 Tm 3.47-3.77, 2 Pm 3.50-3.59, 3 Pr 3.53-3.87
Pr 0.2860 0.1541 0.2500  8 Tm 3.39-3.56, 1 Pm 3.42
Pr 0.7140 0.8459 0.7500  8 Tm 3.39-3.56, 1 Pm 3.42
Tm 0.2201 0.8155 0.4979  8 Tm 3.47-3.77, 2 Pm 3.50-3.59, 3 Pr 3.53-3.87
Tm 0.2668 0.1489 0.7500  5 Tm 3.34-3.64, 3 Pr 3.41-3.50, 1 Pm 3.48

=====

The following is a DFT calculation (PBE) of crystalline SrSnF4 at its relaxed geometry.

Formation energy (no corrections), eV/atom: -2.92
Total energy, eV per atom: -5.1182
DOS(E_F), states/eV/cell: 0.00
Density, g/cm³: 4.25

abc: 3.3758 5.9624 5.9624
angles: 85.40 73.56 73.56
Closest atoms and distances in Å follow each position.
Fractional coordinates of all 6 atoms:
Sn 0.5000 0.0000 0.0000  4 F 2.28
F 0.9807 0.2575 0.2643  1 Sn 2.28, 1 Sr 2.55
Sr 0.2500 0.5000 0.5000  8 F 2.55-2.59
F 0.5025 0.7425 0.7357  1 Sn 2.28, 1 Sr 2.55
F 0.7549 0.2643 0.7425  1 Sn 2.28, 1 Sr 2.55
F 0.7618 0.7357 0.2575  1 Sn 2.28, 1 Sr 2.55

=====

The following is a DFT calculation (PBE) of crystalline LaTlRe2 at its relaxed geometry.

Total energy, eV per atom: -7.4636
DOS(E_F), states/eV/cell: 2.94
Relative energy among the computed polymorphs, eV per atom: 0.393
Density, g/cm³: 14.59
Energy relative to the elements, eV per atom: 0.584

abc: 10.4828 10.4828 10.4828
angles: 16.55 16.55 16.55
Closest atoms and distances in Å follow each position.
Fractional coordinates of all 4 atoms:
Tl 0.5096 0.5096 0.5096  6 Tl 3.02, 3 Re 3.08
Re 0.2580 0.2580 0.2580  3 Re 2.63
La 0.7442 0.7442 0.7442  6 La 3.02, 3 Re 3.27
Re 0.9882 0.9882 0.9882  3 Re 2.63

=====

The following is a DFT calculation (PBE) of crystalline AlSbCl at its relaxed geometry.

Formation energy (no corrections), eV/atom: -0.41
Total energy, eV per atom: -3.6459
DOS(E_F), states/eV/cell: 0.90
Relative energy among the computed polymorphs, eV per atom: 0.000
Density, g/cm³: 3.23

abc: 7.9013 7.9013 7.9013
angles: 156.00 151.79 37.36
Closest atoms and distances in Å follow each position.
Fractional coordinates of all 3 atoms:
Sb 0.5567 0.5567 0.0000  4 Al 2.90
Al 0.1514 0.1514 0.0000  1 Cl 2.10
Cl 0.2919 0.2919 0.0000  1 Al 2.10

=====

The following is a DFT calculation (PBE) of crystalline La8Tb4Mg at its relaxed geometry.

Total energy, eV per atom: -4.4436
DOS(E_F), states/eV/cell: 16.50
Density, g/cm³: 6.37
Energy relative to the elements, eV per atom: 0.136

abc: 11.0582 11.0582 11.0582
angles: 38.08 38.08 38.08
Closest atoms and distances in Å follow each position.
Fractional coordinates of all 13 atoms:
La 0.2236 0.7491 0.7491  1 Mg 3.15, 2 La 3.42, 1 Tb 3.47
La 0.7491 0.2236 0.7491  1 Mg 3.15, 2 La 3.42, 1 Tb 3.47
Tb 0.0000 0.0000 0.0000  6 La 3.47, 6 Tb 3.61
La 0.2127 0.2127 0.2127  6 La 3.71
Tb 0.0000 0.5000 0.5000  4 La 3.56, 6 Tb 3.61
La 0.7764 0.2509 0.2509  1 Mg 3.15, 2 La 3.42, 1 Tb 3.47
Tb 0.5000 0.0000 0.5000  4 La 3.56, 6 Tb 3.61
Mg 0.5000 0.5000 0.5000  6 La 3.15
La 0.7873 0.7873 0.7873  6 La 3.71
La 0.2509 0.2509 0.7764  1 Mg 3.15, 2 La 3.42, 1 Tb 3.47
La 0.2509 0.7764 0.2509  1 Mg 3.15, 2 La 3.42, 1 Tb 3.47
Tb 0.5000 0.5000 0.0000  4 La 3.56, 6 Tb 3.61
La 0.7491 0.7491 0.2236  1 Mg 3.15, 2 La 3.42, 1 Tb 3.47

=====

The following is a DFT calculation (PBE) of crystalline MnAsIr2 at its relaxed geometry.

Total energy, eV per atom: -7.7680
DOS(E_F), states/eV/cell: 4.15
Density, g/cm³: 15.02
Energy relative to the elements, eV per atom: 0.117

abc: 8.3862 8.3862 8.3862
angles: 19.40 19.40 19.40
Closest atoms and distances in Å follow each position.
Fractional coordinates of all 4 atoms:
Ir 0.2453 0.2453 0.2453  3 Mn 2.58, 9 Ir 2.81-2.83
Ir 0.0048 0.0048 0.0048  3 As 2.57, 9 Ir 2.81-2.83
As 0.7522 0.7522 0.7522  3 Mn 2.54, 3 Ir 2.57, 6 As 2.83
Mn 0.4976 0.4976 0.4976  3 As 2.54, 3 Ir 2.58, 6 Mn 2.83

=====

The following is a DFT calculation (PBE) of crystalline NaPmCdSn at its relaxed geometry.

Total energy, eV per atom: -3.1197
DOS(E_F), states/eV/cell: 1.45
Relative energy among the computed polymorphs, eV per atom: 0.003
Density, g/cm³: 6.16
Energy relative to the elements, eV per atom: -0.373

abc: 5.3392 5.3392 5.3392
angles: 60.00 60.00 60.00
Closest atoms and distances in Å follow each position.
Fractional coordinates of all 4 atoms:
Pm 0.5000 0.5000 0.5000  4 Cd 3.27, 4 Sn 3.27
Na 0.0000 0.0000 0.0000  4 Sn 3.27, 4 Cd 3.27
Sn 0.2500 0.2500 0.2500  4 Na 3.27, 4 Pm 3.27
Cd 0.7500 0.7500 0.7500  4 Na 3.27, 4 Pm 3.27

=====

The following is a DFT calculation (PBE) of crystalline Cd2AsSe at its relaxed geometry.

Formation energy (no corrections), eV/atom: 0.10
Total energy, eV per atom: -2.3934
DOS(E_F), states/eV/cell: 3.07
Relative energy among the computed polymorphs, eV per atom: 0.276
Density, g/cm³: 6.59

abc: 6.7224 6.7224 6.7224
angles: 145.81 145.81 49.12
Closest atoms and distances in Å follow each position.
Fractional coordinates of all 4 atoms:
Cd 0.0000 0.0000 0.0000  4 Se 2.79
As 0.7500 0.2500 0.5000  4 Cd 2.79
Se 0.5000 0.5000 0.0000  4 Cd 2.79
Cd 0.2500 0.7500 0.5000  4 As 2.79

=====

The following is a DFT calculation (PBE) of crystalline Hg2IrRh at its relaxed geometry.

Total energy, eV per atom: -3.7263
DOS(E_F), states/eV/cell: 5.52
Relative energy among the computed polymorphs, eV per atom: 0.185
Density, g/cm³: 16.54
Energy relative to the elements, eV per atom: 0.478

abc: 5.0145 5.0145 5.0145
angles: 131.17 131.17 71.55
Closest atoms and distances in Å follow each position.
Fractional coordinates of all 4 atoms:
Hg 0.2500 0.7500 0.5000  4 Hg 2.90, 4 Ir 2.90, 4 Rh 2.93
Rh 0.7500 0.2500 0.5000  8 Hg 2.90-2.93, 4 Ir 2.90
Hg 0.0000 0.0000 0.0000  4 Hg 2.90, 4 Rh 2.90, 4 Ir 2.93
Ir 0.5000 0.5000 0.0000  8 Hg 2.90-2.93, 4 Rh 2.90

=====

The following is a DFT calculation (PBE) of crystalline CsBiP2O8 at its relaxed geometry.

Formation energy (no corrections), eV/atom: -1.82
Total energy, eV per atom: -6.4264
Density, g/cm³: 4.22

abc: 5.0531 5.0531 9.4541
angles: 90.00 90.00 120.00
Closest atoms and distances in Å follow each position.
Fractional coordinates of all 12 atoms:
O 0.6885 0.0521 0.3591  1 P 1.57
O 0.0521 0.3636 0.6409  1 P 1.57
P 0.3333 0.6667 0.6977  4 O 1.51-1.57
O 0.3333 0.6667 0.8571  1 P 1.51
P 0.6667 0.3333 0.3023  4 O 1.51-1.57
O 0.6667 0.3333 0.1429  1 P 1.51
O 0.3636 0.3115 0.3591  1 P 1.57
O 0.6364 0.6885 0.6409  1 P 1.57
O 0.3115 0.9479 0.6409  1 P 1.57
Cs 0.0000 0.0000 0.0000  6 O 3.22
Bi 0.0000 0.0000 0.5000  6 O 2.18
O 0.9479 0.6364 0.3591  1 P 1.57

=====

The following is a DFT calculation (PBE) of crystalline TiNb6Pd2 at its relaxed geometry.

Total energy, eV per atom: -8.7728
DOS(E_F), states/eV/cell: 8.65
Density, g/cm³: 8.40
Energy relative to the elements, eV per atom: -0.028

abc: 5.1180 6.4595 5.3113
angles: 103.57 92.93 71.42
Closest atoms and distances in Å follow each position.
Fractional coordinates of all 9 atoms:
Nb 0.4135 0.2216 0.0667  1 Pd 2.59, 1 Nb 2.64, 2 Ti 2.88
Nb 0.2612 0.9892 0.5063  2 Nb 2.50-2.63, 1 Pd 2.76
Nb 0.2437 0.5219 0.6290  3 Pd 2.77-2.90, 3 Nb 2.85-2.96
Pd 0.8623 0.3542 0.8423  1 Ti 2.50, 4 Nb 2.59-2.78
Pd 0.1377 0.6458 0.1577  1 Ti 2.50, 4 Nb 2.59-2.78
Nb 0.7388 0.0108 0.4937  2 Nb 2.50-2.63, 1 Pd 2.76
Nb 0.5865 0.7784 0.9333  1 Pd 2.59, 1 Nb 2.64, 2 Ti 2.88
Nb 0.7563 0.4781 0.3710  3 Pd 2.77-2.90, 3 Nb 2.85-2.96
Ti 0.0000 0.0000 0.0000  2 Pd 2.50

=====

The following is a DFT calculation (PBE) of crystalline RbBaCr2C at its relaxed geometry.

Total energy, eV per atom: -3.5536
DOS(E_F), states/eV/cell: 3.21
Density, g/cm³: 1.47
Energy relative to the elements, eV per atom: 2.719

abc: 6.2403 9.8594 6.2403
angles: 90.00 90.00 90.00
Closest atoms and distances in Å follow each position.
Fractional coordinates of all 5 atoms:
Cr 0.5000 0.0000 0.0000  2 Ba 3.12
Ba 0.0000 0.0000 0.0000  4 Cr 3.12
Cr 0.0000 0.0000 0.5000  2 Ba 3.12
Rb 0.0000 0.5000 0.0000  4 C 4.41, 2 Ba 4.93
C 0.5000 0.5000 0.5000  4 Rb 4.41

=====

The following is a DFT calculation (PBE) of crystalline CdTeAu2 at its relaxed geometry.

Formation energy (no corrections), eV/atom: 0.00
Total energy, eV per atom: -2.6539
DOS(E_F), states/eV/cell: 1.79
Relative energy among the computed polymorphs, eV per atom: 0.078
Density, g/cm³: 11.42

abc: 4.5120 4.5120 6.1313
angles: 75.36 75.36 50.25
Closest atoms and distances in Å follow each position.
Fractional coordinates of all 4 atoms:
Au 0.0022 0.0022 0.9838  3 Cd 2.82-2.86, 3 Te 2.93-2.95
Te 0.2500 0.2500 0.2500  6 Au 2.93-2.95
Cd 0.7500 0.7500 0.7500  6 Au 2.82-2.86
Au 0.4978 0.4978 0.5162  3 Cd 2.82-2.86, 3 Te 2.93-2.95

=====

The following is a DFT calculation (PBE) of crystalline RbHf2Te2 at its relaxed geometry.

Formation energy (no corrections), eV/atom: -0.07
Total energy, eV per atom: -5.4966
DOS(E_F), states/eV/cell: 11.16
Relative energy among the computed polymorphs, eV per atom: 0.489
Density, g/cm³: 8.49

abc: 8.7609 8.7609 3.5535
angles: 90.00 90.00 90.00
Closest atoms and distances in Å follow each position.
Fractional coordinates of all 10 atoms:
Te 0.8386 0.3386 0.5000  6 Hf 3.03-3.29
Hf 0.6149 0.1149 0.0000  1 Hf 2.85, 4 Te 3.03
Rb 0.0000 0.0000 0.0000  4 Hf 3.52, 2 Rb 3.55, 8 Te 3.74
Te 0.3386 0.1614 0.5000  6 Hf 3.03-3.29
Te 0.6614 0.8386 0.5000  6 Hf 3.03-3.29
Rb 0.5000 0.5000 0.0000  4 Hf 3.52, 2 Rb 3.55, 8 Te 3.74
Hf 0.8851 0.6149 0.0000  1 Hf 2.85, 4 Te 3.03
Hf 0.1149 0.3851 0.0000  1 Hf 2.85, 4 Te 3.03
Te 0.1614 0.6614 0.5000  6 Hf 3.03-3.29
Hf 0.3851 0.8851 0.0000  1 Hf 2.85, 4 Te 3.03